# TbErMgRu | the Alexandria database | GGA-PBE | optimized geometry
# N(E_F): 14.7 states/eV/cell
# energy of formation: -0.81 eV per formula unit
data_TbErMgRu
_chemical_formula_sum 'Tb4 Er4 Mg4 Ru4'
_cell_length_a 7.085
_cell_length_b 7.085
_cell_length_c 7.085
_cell_angle_alpha 90.00
_cell_angle_beta 90.00
_cell_angle_gamma 90.00
_symmetry_space_group_name_H-M 'F -4 3 m'
_symmetry_Int_Tables_number 216
_symmetry_space_group_name_Hall 'F -4 2 3'
loop_
_atom_site_label
_atom_site_type_symbol
_atom_site_fract_x
_atom_site_fract_y
_atom_site_fract_z
Tb1 Tb 0.000 0.000 0.000
Er1 Er 0.000 0.000 0.500
Mg1 Mg 0.250 0.250 0.750
Ru1 Ru 0.250 0.250 0.250


# TbErMgRu | the Alexandria database | GGA-PBE | optimized geometry
# N(E_F): 3.1 states/eV/cell
# energy of formation: -1.19 eV per formula unit
data_TbErMgRu
_chemical_formula_sum 'Tb1 Er1 Mg1 Ru1'
_cell_length_a 3.418
_cell_length_b 3.418
_cell_length_c 8.215
_cell_angle_alpha 90.00
_cell_angle_beta 90.00
_cell_angle_gamma 90.00
_symmetry_space_group_name_H-M 'P 4 m m'
_symmetry_Int_Tables_number 99
loop_
_symmetry_equiv_pos_as_xyz
'x,y,z'
'-y,x,z'
'-x,-y,z'
'y,-x,z'
'-x,y,z'
'y,x,z'
'x,-y,z'
'-y,-x,z'
loop_
_atom_site_label
_atom_site_type_symbol
_atom_site_fract_x
_atom_site_fract_y
_atom_site_fract_z
Tb1 Tb 0.000 0.000 0.000
Er1 Er 0.000 0.000 0.598
Mg1 Mg 0.500 0.500 0.302
Ru1 Ru 0.500 0.500 0.795


# ErTmMgRu | the Alexandria database | GGA-PBE | optimized geometry
# N(E_F): 14.1 states/eV/cell
# energy of formation: -0.93 eV per formula unit
data_ErTmMgRu
_chemical_formula_sum 'Er4 Tm4 Mg4 Ru4'
_cell_length_a 7.025
_cell_length_b 7.025
_cell_length_c 7.025
_cell_angle_alpha 90.00
_cell_angle_beta 90.00
_cell_angle_gamma 90.00
_symmetry_space_group_name_H-M 'F -4 3 m'
_symmetry_Int_Tables_number 216
_symmetry_space_group_name_Hall 'F -4 2 3'
loop_
_atom_site_label
_atom_site_type_symbol
_atom_site_fract_x
_atom_site_fract_y
_atom_site_fract_z
Er1 Er 0.000 0.000 0.000
Tm1 Tm 0.000 0.000 0.500
Mg1 Mg 0.250 0.250 0.250
Ru1 Ru 0.250 0.250 0.750


# ErTmMgRu | the Alexandria database | GGA-PBE | optimized geometry
# N(E_F): 2.8 states/eV/cell
# energy of formation: -1.35 eV per formula unit
data_ErTmMgRu
_chemical_formula_sum 'Er1 Tm1 Mg1 Ru1'
_cell_length_a 3.406
_cell_length_b 3.406
_cell_length_c 8.025
_cell_angle_alpha 90.00
_cell_angle_beta 90.00
_cell_angle_gamma 90.00
_symmetry_space_group_name_H-M 'P 4 m m'
_symmetry_Int_Tables_number 99
loop_
_symmetry_equiv_pos_as_xyz
'x,y,z'
'-y,x,z'
'-x,-y,z'
'y,-x,z'
'-x,y,z'
'y,x,z'
'x,-y,z'
'-y,-x,z'
loop_
_atom_site_label
_atom_site_type_symbol
_atom_site_fract_x
_atom_site_fract_y
_atom_site_fract_z
Er1 Er 0.000 0.000 0.000
Tm1 Tm 0.000 0.000 0.595
Mg1 Mg 0.500 0.500 0.299
Ru1 Ru 0.500 0.500 0.796


# Er2MgU2Ru5 | the Alexandria database | GGA-PBE | optimized geometry
# N(E_F): 17.1 states/eV/cell
# energy of formation: -1.88 eV per formula unit
data_Er2MgU2Ru5
_chemical_formula_sum 'Er4 Mg2 U4 Ru10'
_cell_length_a 10.802
_cell_length_b 10.802
_cell_length_c 3.300
_cell_angle_alpha 90.00
_cell_angle_beta 90.00
_cell_angle_gamma 90.00
_symmetry_space_group_name_H-M 'P 4/m b m'
_symmetry_Int_Tables_number 127
_symmetry_space_group_name_Hall '-P 4 2ab'
loop_
_atom_site_label
_atom_site_type_symbol
_atom_site_fract_x
_atom_site_fract_y
_atom_site_fract_z
Er1 Er 0.160 0.340 0.000
Mg1 Mg 0.000 0.000 0.000
U1 U 0.152 0.652 0.000
Ru1 Ru 0.000 0.500 0.500
Ru2 Ru 0.053 0.794 0.500


# ErMgZrRu | the Alexandria database | GGA-PBE | optimized geometry
# N(E_F): 12.8 states/eV/cell
# energy of formation: -0.76 eV per formula unit
data_ErMgZrRu
_chemical_formula_sum 'Er4 Mg4 Zr4 Ru4'
_cell_length_a 6.894
_cell_length_b 6.894
_cell_length_c 6.894
_cell_angle_alpha 90.00
_cell_angle_beta 90.00
_cell_angle_gamma 90.00
_symmetry_space_group_name_H-M 'F -4 3 m'
_symmetry_Int_Tables_number 216
_symmetry_space_group_name_Hall 'F -4 2 3'
loop_
_atom_site_label
_atom_site_type_symbol
_atom_site_fract_x
_atom_site_fract_y
_atom_site_fract_z
Er1 Er 0.000 0.000 0.000
Mg1 Mg 0.250 0.250 0.250
Zr1 Zr 0.000 0.000 0.500
Ru1 Ru 0.250 0.250 0.750


# Er3MgS4 | the Alexandria database | GGA-PBE | optimized geometry
# N(E_F): 1.5 states/eV/cell
# formation energy from raw total energies: -1.778 eV/atom
data_Er3MgS4
_chemical_formula_sum 'Er6 Mg2 S8'
_cell_length_a 5.425
_cell_length_b 5.425
_cell_length_c 10.861
_cell_angle_alpha 90.00
_cell_angle_beta 90.00
_cell_angle_gamma 90.00
_symmetry_space_group_name_H-M 'I 4/m m m'
_symmetry_Int_Tables_number 139
_symmetry_space_group_name_Hall '-I 4 2'
loop_
_atom_site_label
_atom_site_type_symbol
_atom_site_fract_x
_atom_site_fract_y
_atom_site_fract_z
Er1 Er 0.000 0.000 0.000
Er2 Er 0.000 0.500 0.250
Mg1 Mg 0.000 0.000 0.500
S1 S 0.000 0.000 0.262
S2 S 0.000 0.500 0.000


# Er3MgS6 | the Alexandria database | GGA-PBE | optimized geometry
# N(E_F): 22.4 states/eV/cell
# formation energy from raw total energies: -1.719 eV/atom
data_Er3MgS6
_chemical_formula_sum 'Er12 Mg4 S24'
_cell_length_a 10.626
_cell_length_b 12.724
_cell_length_c 6.675
_cell_angle_alpha 90.00
_cell_angle_beta 90.00
_cell_angle_gamma 90.00
_symmetry_space_group_name_H-M 'C m c 21'
_symmetry_Int_Tables_number 36
loop_
_symmetry_equiv_pos_as_xyz
'x,y,z'
'-x,-y,z+1/2'
'-x,y,z'
'x,-y,z+1/2'
'x+1/2,y+1/2,z'
'-x+1/2,-y+1/2,z+1/2'
'-x+1/2,y+1/2,z'
'x+1/2,-y+1/2,z+1/2'
loop_
_atom_site_label
_atom_site_type_symbol
_atom_site_fract_x
_atom_site_fract_y
_atom_site_fract_z
Er1 Er 0.000 0.100 0.000
Er2 Er 0.180 0.399 0.912
Mg1 Mg 0.000 0.301 0.389
S1 S 0.000 0.274 0.750
S2 S 0.000 0.469 0.202
S3 S 0.164 0.034 0.709
S4 S 0.173 0.228 0.188


# ErMgS | the Alexandria database | GGA-PBE | optimized geometry
# N(E_F): 7.7 states/eV/cell
# formation energy from raw total energies: -0.992 eV/atom
data_ErMgS
_chemical_formula_sum 'Er6 Mg6 S6'
_cell_length_a 4.7636
_cell_length_b 4.7636
_cell_length_c 22.1595
_cell_angle_alpha 90.00
_cell_angle_beta 90.00
_cell_angle_gamma 120.00
_symmetry_space_group_name_H-M 'R -3 m'
_symmetry_Int_Tables_number 166
_symmetry_space_group_name_Hall '-R 3 2"'
loop_
_atom_site_label
_atom_site_type_symbol
_atom_site_fract_x
_atom_site_fract_y
_atom_site_fract_z
Er1 Er 0.0000 0.0000 0.0910
Mg1 Mg 0.0000 0.0000 0.3299
S1 S 0.0000 0.0000 0.2155


# ErMgS2 | the Alexandria database | GGA-PBE | optimized geometry
# N(E_F): 3.1 states/eV/cell
# formation energy from raw total energies: -1.603 eV/atom
data_ErMgS2
_chemical_formula_sum 'Er3 Mg3 S6'
_cell_length_a 3.7059
_cell_length_b 3.7059
_cell_length_c 19.7175
_cell_angle_alpha 90.00
_cell_angle_beta 90.00
_cell_angle_gamma 120.00
_symmetry_space_group_name_H-M 'R 3 m'
_symmetry_Int_Tables_number 160
_symmetry_space_group_name_Hall 'R 3 -2"'
loop_
_atom_site_label
_atom_site_type_symbol
_atom_site_fract_x
_atom_site_fract_y
_atom_site_fract_z
Er1 Er 0.0000 0.0000 0.0000
Mg1 Mg 0.0000 0.0000 0.8314
S1 S 0.0000 0.0000 0.2437
S2 S 0.0000 0.0000 0.4242


# ErMg2S4 | the Alexandria database | GGA-PBE | optimized geometry
# N(E_F): 14.1 states/eV/cell
# formation energy from raw total energies: -1.413 eV/atom
data_ErMg2S4
_chemical_formula_sum 'Er4 Mg8 S16'
_cell_length_a 3.658
_cell_length_b 12.067
_cell_length_c 12.608
_cell_angle_alpha 90.00
_cell_angle_beta 90.00
_cell_angle_gamma 90.00
_symmetry_space_group_name_H-M 'C m c m'
_symmetry_Int_Tables_number 63
_symmetry_space_group_name_Hall '-C 2c 2'
loop_
_atom_site_label
_atom_site_type_symbol
_atom_site_fract_x
_atom_site_fract_y
_atom_site_fract_z
Er1 Er 0.000 0.117 0.250
Mg1 Mg 0.000 0.367 0.069
S1 S 0.000 0.000 0.000
S2 S 0.000 0.282 0.618
S3 S 0.000 0.453 0.250


# Er2MgS4 | the Alexandria database | GGA-PBE | optimized geometry
# formation energy from raw total energies: -1.875 eV/atom
data_Er2MgS4
_chemical_formula_sum 'Er8 Mg4 S16'
_cell_length_a 3.760
_cell_length_b 12.466
_cell_length_c 12.791
_cell_angle_alpha 90.00
_cell_angle_beta 90.00
_cell_angle_gamma 90.00
_symmetry_space_group_name_H-M 'C m c 21'
_symmetry_Int_Tables_number 36
loop_
_symmetry_equiv_pos_as_xyz
'x,y,z'
'-x,-y,z+1/2'
'-x,y,z'
'x,-y,z+1/2'
'x+1/2,y+1/2,z'
'-x+1/2,-y+1/2,z+1/2'
'-x+1/2,y+1/2,z'
'x+1/2,-y+1/2,z+1/2'
loop_
_atom_site_label
_atom_site_type_symbol
_atom_site_fract_x
_atom_site_fract_y
_atom_site_fract_z
Er1 Er 0.000 0.119 0.000
Er2 Er 0.000 0.361 0.203
Mg1 Mg 0.000 0.376 0.840
S1 S 0.000 0.016 0.792
S2 S 0.000 0.261 0.390
S3 S 0.000 0.290 0.650
S4 S 0.000 0.465 0.020


# Er2MgS4 | the Alexandria database | GGA-PBE | optimized geometry
# N(E_F): 0.0 states/eV/cell
# formation energy from raw total energies: -1.834 eV/atom
data_Er2MgS4
_chemical_formula_sum 'Er8 Mg4 S16'
_cell_length_a 12.543
_cell_length_b 3.823
_cell_length_c 13.328
_cell_angle_alpha 90.00
_cell_angle_beta 90.00
_cell_angle_gamma 90.00
_symmetry_space_group_name_H-M 'P n m a'
_symmetry_Int_Tables_number 62
loop_
_symmetry_equiv_pos_as_xyz
'x,y,z'
'-x,-y,-z'
'-x+1/2,-y,z+1/2'
'x+1/2,y,-z+1/2'
'x+1/2,-y+1/2,-z+1/2'
'-x+1/2,y+1/2,z+1/2'
'-x,y+1/2,-z'
'x,-y+1/2,z'
loop_
_atom_site_label
_atom_site_type_symbol
_atom_site_fract_x
_atom_site_fract_y
_atom_site_fract_z
Er1 Er 0.117 0.250 0.076
Er2 Er 0.138 0.250 0.705
Mg1 Mg 0.112 0.750 0.453
S1 S 0.009 0.750 0.617
S2 S 0.027 0.250 0.883
S3 S 0.226 0.250 0.248
S4 S 0.239 0.250 0.516


# ErMgS2 | the Alexandria database | GGA-PBE | optimized geometry
# N(E_F): 4.1 states/eV/cell
# formation energy from raw total energies: -1.599 eV/atom
data_ErMgS2
_chemical_formula_sum 'Er3 Mg3 S6'
_cell_length_a 3.7210
_cell_length_b 3.7210
_cell_length_c 19.2267
_cell_angle_alpha 90.00
_cell_angle_beta 90.00
_cell_angle_gamma 120.00
_symmetry_space_group_name_H-M 'R -3 m'
_symmetry_Int_Tables_number 166
_symmetry_space_group_name_Hall '-R 3 2"'
loop_
_atom_site_label
_atom_site_type_symbol
_atom_site_fract_x
_atom_site_fract_y
_atom_site_fract_z
Er1 Er 0.0000 0.0000 0.0000
Mg1 Mg 0.0000 0.0000 0.5000
S1 S 0.0000 0.0000 0.2439


# Er4MgS5 | the Alexandria database | GGA-PBE | optimized geometry
# N(E_F): 7.0 states/eV/cell
# formation energy from raw total energies: -1.806 eV/atom
data_Er4MgS5
_chemical_formula_sum 'Er8 Mg2 S10'
_cell_length_a 8.575
_cell_length_b 8.575
_cell_length_c 5.435
_cell_angle_alpha 90.00
_cell_angle_beta 90.00
_cell_angle_gamma 90.00
_symmetry_space_group_name_H-M 'I 4'
_symmetry_Int_Tables_number 79
loop_
_symmetry_equiv_pos_as_xyz
'x,y,z'
'-y,x,z'
'-x,-y,z'
'y,-x,z'
'x+1/2,y+1/2,z+1/2'
'-y+1/2,x+1/2,z+1/2'
'-x+1/2,-y+1/2,z+1/2'
'y+1/2,-x+1/2,z+1/2'
loop_
_atom_site_label
_atom_site_type_symbol
_atom_site_fract_x
_atom_site_fract_y
_atom_site_fract_z
Er1 Er 0.097 0.696 0.000
Mg1 Mg 0.000 0.000 0.502
S1 S 0.000 0.000 0.000
S2 S 0.097 0.714 0.500


# Er2MgS3 | the Alexandria database | GGA-PBE | optimized geometry
# N(E_F): 3.1 states/eV/cell
# formation energy from raw total energies: -1.743 eV/atom
data_Er2MgS3
_chemical_formula_sum 'Er4 Mg2 S6'
_cell_length_a 3.800
_cell_length_b 3.800
_cell_length_c 16.409
_cell_angle_alpha 90.00
_cell_angle_beta 90.00
_cell_angle_gamma 90.00
_symmetry_space_group_name_H-M 'I 4/m m m'
_symmetry_Int_Tables_number 139
_symmetry_space_group_name_Hall '-I 4 2'
loop_
_atom_site_label
_atom_site_type_symbol
_atom_site_fract_x
_atom_site_fract_y
_atom_site_fract_z
Er1 Er 0.000 0.000 0.173
Mg1 Mg 0.000 0.000 0.500
S1 S 0.000 0.000 0.000
S2 S 0.000 0.000 0.342


# ErMg4S5 | the Alexandria database | GGA-PBE | optimized geometry
# N(E_F): 3.5 states/eV/cell
# formation energy from raw total energies: -1.484 eV/atom
data_ErMg4S5
_chemical_formula_sum 'Er2 Mg8 S10'
_cell_length_a 3.746
_cell_length_b 3.746
_cell_length_c 26.689
_cell_angle_alpha 90.00
_cell_angle_beta 90.00
_cell_angle_gamma 90.00
_symmetry_space_group_name_H-M 'I 4/m m m'
_symmetry_Int_Tables_number 139
_symmetry_space_group_name_Hall '-I 4 2'
loop_
_atom_site_label
_atom_site_type_symbol
_atom_site_fract_x
_atom_site_fract_y
_atom_site_fract_z
Er1 Er 0.000 0.000 0.000
Mg1 Mg 0.000 0.000 0.201
Mg2 Mg 0.000 0.000 0.396
S1 S 0.000 0.000 0.103
S2 S 0.000 0.000 0.299
S3 S 0.000 0.000 0.500


# Er2MgS4 | the Alexandria database | GGA-PBE | optimized geometry
# N(E_F): 0.0 states/eV/cell
# formation energy from raw total energies: -1.862 eV/atom
data_Er2MgS4
_chemical_formula_sum 'Er4 Mg2 S8'
_cell_length_a 13.939
_cell_length_b 3.867
_cell_length_c 6.807
_cell_angle_alpha 90.00
_cell_angle_beta 118.30
_cell_angle_gamma 90.00
_symmetry_space_group_name_H-M 'C 1 2/m 1'
_symmetry_Int_Tables_number 12
loop_
_symmetry_equiv_pos_as_xyz
'x,y,z'
'-x,-y,-z'
'-x,y,-z'
'x,-y,z'
'x+1/2,y+1/2,z'
'-x+1/2,-y+1/2,-z'
'-x+1/2,y+1/2,-z'
'x+1/2,-y+1/2,z'
loop_
_atom_site_label
_atom_site_type_symbol
_atom_site_fract_x
_atom_site_fract_y
_atom_site_fract_z
Er1 Er 0.224 0.000 0.216
Mg1 Mg 0.000 0.500 0.500
S1 S 0.121 0.500 0.925
S2 S 0.135 0.000 0.494


# Er6MgS8 | the Alexandria database | GGA-PBE | optimized geometry
# N(E_F): 14.8 states/eV/cell
# formation energy from raw total energies: -1.959 eV/atom
data_Er6MgS8
_chemical_formula_sum 'Er24 Mg4 S32'
_cell_length_a 10.884
_cell_length_b 10.884
_cell_length_c 10.884
_cell_angle_alpha 90.00
_cell_angle_beta 90.00
_cell_angle_gamma 90.00
_symmetry_space_group_name_H-M 'F m -3 m'
_symmetry_Int_Tables_number 225
_symmetry_space_group_name_Hall '-F 4 2 3'
loop_
_atom_site_label
_atom_site_type_symbol
_atom_site_fract_x
_atom_site_fract_y
_atom_site_fract_z
Er1 Er 0.000 0.250 0.250
Mg1 Mg 0.000 0.000 0.000
S1 S 0.000 0.000 0.243
S2 S 0.250 0.250 0.250


# Er5MgS6 | the Alexandria database | GGA-PBE | optimized geometry
# N(E_F): 7.9 states/eV/cell
# formation energy from raw total energies: -1.831 eV/atom
data_Er5MgS6
_chemical_formula_sum 'Er10 Mg2 S12'
_cell_length_a 6.643
_cell_length_b 11.575
_cell_length_c 6.634
_cell_angle_alpha 90.00
_cell_angle_beta 109.53
_cell_angle_gamma 90.00
_symmetry_space_group_name_H-M 'C 1 2/m 1'
_symmetry_Int_Tables_number 12
loop_
_symmetry_equiv_pos_as_xyz
'x,y,z'
'-x,-y,-z'
'-x,y,-z'
'x,-y,z'
'x+1/2,y+1/2,z'
'-x+1/2,-y+1/2,-z'
'-x+1/2,y+1/2,-z'
'x+1/2,-y+1/2,z'
loop_
_atom_site_label
_atom_site_type_symbol
_atom_site_fract_x
_atom_site_fract_y
_atom_site_fract_z
Er1 Er 0.000 0.000 0.000
Er2 Er 0.000 0.167 0.500
Er3 Er 0.000 0.330 0.000
Mg1 Mg 0.000 0.500 0.500
S1 S 0.238 0.500 0.258
S2 S 0.241 0.340 0.743


We obtain magnetic moment values of 0.00, 0.00, 0.00, 0.00, 0.00, 0.00, 0.00, 0.00, 0.00, 0.20, 0.00, 0.00, 0.00, 0.00, 0.00, 0.00, 0.00, 0.00, 0.00, 0.00 μB/atom for the records listed above, in that order.